Entry from the Alexandria database: an optimized crystal structure of TbPr2Mg2 (PBE-GGA).

Cell and atoms, written as POSCAR:
```
TbPr2Mg2
1.0
-2.635 3.577 4.145
2.635 -3.577 4.145
2.635 3.577 -4.145
Tb Pr Mg
1 2 2
direct
0.000 0.000 0.000 Tb
0.306 0.806 0.500 Pr
0.694 0.194 0.500 Pr
0.292 0.500 0.792 Mg
0.708 0.500 0.208 Mg
```

Computed properties:
- V: 31.25 Å³/atom
- Symmetry: Immm (71)
- Relative energy among the computed polymorphs: 0.49 eV per formula unit
- Magnetic moment: 0.00 μB per formula unit
- Density: 5.200 g cm⁻³
- Electronic total energy: -3.446 eV per atom
- Energy relative to the elements: 0.03 eV/atom